An optimized crystal structure of MnCoP. Source: Alexandria, functional PBE.

Cell and atoms, written as POSCAR:
```
MnCoP
1.0
-1.476 2.248 0.676
-2.858 -1.385 -1.631
-2.074 -3.297 6.433
P Co Mn
2 2 2
Direct
0.500 0.500 0.562
0.000 0.000 0.062
0.000 0.000 0.505
0.500 0.500 0.005
0.000 0.500 0.283
0.500 0.000 0.783
```

Values from the calculation:
E_form ... -0.37 eV/f.u.
Crystal system ... orthorhombic

An optimized crystal structure of Te4Pd4I. Source: Alexandria, functional PBE.

Cell and atoms, written as POSCAR:
```
Te4Pd4I
1.0
-2.843 3.374 1.157
0.549 -2.856 9.680
7.885 6.173 1.374
I Pd Te
2 8 8
Direct
0.000 0.000 0.000
0.500 0.500 0.500
0.500 0.230 0.088
0.500 0.912 0.230
0.000 0.270 0.412
0.000 0.412 0.730
0.000 0.588 0.270
0.500 0.088 0.770
0.000 0.730 0.588
0.500 0.770 0.912
0.500 0.338 0.849
0.000 0.651 0.838
0.000 0.838 0.349
0.500 0.849 0.662
0.000 0.162 0.651
0.500 0.662 0.151
0.500 0.151 0.338
0.000 0.349 0.162
```

Values from the calculation:
E_form (uncorrected) ... -2.15 eV/f.u.
Crystal system ... tetragonal

An optimized crystal structure of CsSr2Ac. Source: Alexandria, functional PBE.

Cell and atoms, written as POSCAR:
```
CsSr2Ac
1.0
-1.291 2.748 2.889
-1.399 -1.361 3.709
13.191 1.210 7.786
Sr Cs Ac
2 1 1
Direct
0.907 0.907 0.280
0.093 0.093 0.720
0.000 0.000 0.000
0.500 0.500 0.500
```

Values from the calculation:
E_form ... 0.73 eV/f.u.
Crystal system ... trigonal

An optimized crystal structure of CeErCdPd. Source: Alexandria, functional PBE.

Cell and atoms, written as POSCAR:
```
CeErCdPd
1.0
-2.680 -4.084 1.685
1.354 -4.765 -1.471
2.119 -3.253 3.410
Pd Er Ce Cd
1 1 1 1
Direct
0.750 0.750 0.750
0.000 0.000 0.000
0.500 0.500 0.500
0.250 0.250 0.250
```

Values from the calculation:
E_form ... -1.67 eV/f.u.
Crystal system ... cubic

An optimized crystal structure of Sr3PRh2. Source: Alexandria, functional PBE.

Cell and atoms, written as POSCAR:
```
Sr3PRh2
1.0
5.870 0.000 -2.214
0.000 11.162 0.000
0.443 0.000 9.995
Rh Sr P
8 12 4
Direct
0.786 0.354 0.645
0.565 0.971 0.273
0.714 0.854 0.855
0.935 0.471 0.227
0.286 0.146 0.145
0.214 0.646 0.355
0.065 0.529 0.773
0.435 0.029 0.727
0.173 0.231 0.839
0.801 0.967 0.601
0.699 0.467 0.899
0.199 0.033 0.399
0.748 0.603 0.475
0.301 0.533 0.101
0.752 0.103 0.025
0.327 0.731 0.661
0.252 0.397 0.525
0.827 0.769 0.161
0.248 0.897 0.975
0.673 0.269 0.339
0.411 0.792 0.293
0.911 0.708 0.793
0.089 0.292 0.207
0.589 0.208 0.707
```

Values from the calculation:
E_form ... -3.28 eV/f.u.
Crystal system ... monoclinic

An optimized crystal structure of Y2MnCuPt. Source: Alexandria, functional PBE.

Cell and atoms, written as POSCAR:
```
Y2MnCuPt
1.0
-0.362 4.905 -1.574
-4.356 -0.023 0.928
1.014 1.615 4.799
Cu Mn Y Pt
1 1 2 1
Direct
0.500 0.500 0.500
0.000 0.000 0.000
0.500 0.000 0.000
0.000 0.000 0.500
0.000 0.500 0.000
```

Values from the calculation:
E_form ... 1.21 eV/f.u.
Crystal system ... tetragonal

An optimized crystal structure of RhBr2N. Source: Alexandria, functional PBE.

Cell and atoms, written as POSCAR:
```
RhBr2N
1.0
2.169 0.000 6.919
-1.085 1.878 6.919
-1.085 -1.878 6.919
Br Rh N
2 1 1
Direct
0.902 0.902 0.902
0.098 0.098 0.098
0.500 0.500 0.500
0.000 0.000 0.000
```

Values from the calculation:
E_form (uncorrected) ... 4.86 eV/f.u.
Crystal system ... trigonal

An optimized crystal structure of Ti2MnTl3S6. Source: Alexandria, functional PBE.

Cell and atoms, written as POSCAR:
```
Ti2MnTl3S6
1.0
-2.094 -1.724 5.517
3.812 -3.681 -3.117
5.637 5.243 2.667
Ti S Tl Mn
2 6 3 1
Direct
0.667 0.333 0.000
0.333 0.667 0.000
0.719 0.719 0.174
0.056 0.394 0.175
0.281 0.281 0.826
0.944 0.606 0.825
0.394 0.056 0.175
0.606 0.944 0.825
0.834 0.166 0.500
0.500 0.500 0.500
0.166 0.834 0.500
0.000 0.000 0.000
```

Values from the calculation:
E_form (uncorrected) ... -9.90 eV/f.u.
Crystal system ... monoclinic

An optimized crystal structure of KIn3Ge. Source: Alexandria, functional PBE.

Cell and atoms, written as POSCAR:
```
KIn3Ge
1.0
-2.151 4.108 -3.208
-2.991 -3.815 -2.879
-4.268 0.603 3.635
In Ge K
3 1 1
Direct
0.000 0.000 0.500
0.500 0.000 0.000
0.000 0.500 0.000
0.000 0.000 0.000
0.500 0.500 0.500
```

Values from the calculation:
E_form ... 0.83 eV/f.u.
Crystal system ... cubic

An optimized crystal structure of CsYHSe2. Source: Alexandria, functional PBE.

Cell and atoms, written as POSCAR:
```
CsYHSe2
1.0
4.310 0.000 0.000
0.000 8.848 0.249
0.000 -2.367 7.084
Cs Se Y H
2 4 2 2
Direct
0.220 0.500 0.750
0.780 0.500 0.250
0.282 0.195 0.971
0.718 0.195 0.471
0.718 0.805 0.029
0.282 0.805 0.529
0.763 0.000 0.750
0.237 0.000 0.250
0.000 0.000 0.500
0.000 0.000 0.000
```

Values from the calculation:
Energy ... -4.536 eV/atom
Crystal system ... monoclinic

An optimized crystal structure of RbPmCl4. Source: Alexandria, functional PBE.

Cell and atoms, written as POSCAR:
```
RbPmCl4
1.0
7.043 -0.015 0.000
-1.817 8.217 0.000
-2.613 -4.101 6.948
Pm Rb Cl
2 2 8
Direct
0.757 0.007 0.013
0.243 0.993 0.987
0.391 0.641 0.282
0.609 0.359 0.718
0.812 0.750 0.696
0.382 0.684 0.885
0.383 0.946 0.696
0.997 0.799 0.115
0.617 0.054 0.304
0.003 0.201 0.885
0.618 0.316 0.115
0.188 0.250 0.304
```

Values from the calculation:
E_form (uncorrected) ... -12.81 eV/f.u.
Crystal system ... monoclinic

An optimized crystal structure of La5Zn6. Source: Alexandria, functional PBE.

Cell and atoms, written as POSCAR:
```
La5Zn6
1.0
-3.013 4.217 0.740
-3.705 -1.531 -6.365
-1.794 -5.737 6.869
La Zn
5 6
Direct
0.327 0.327 0.654
0.649 0.149 0.297
0.673 0.673 0.346
0.000 0.500 0.000
0.351 0.851 0.703
0.169 0.913 0.339
0.831 0.087 0.661
0.831 0.574 0.661
0.169 0.426 0.339
0.500 0.721 0.000
0.500 0.279 0.000
```

Values from the calculation:
E_form ... -1.81 eV/f.u.
Crystal system ... orthorhombic

An optimized crystal structure of La2Cl. Source: Alexandria, functional PBE.

Cell and atoms, written as POSCAR:
```
La2Cl
1.0
-5.645 -5.852 -9.993
5.012 2.248 11.654
-3.573 1.226 1.300
La Cl
4 2
Direct
0.296 0.704 0.750
0.925 0.075 0.750
0.075 0.925 0.250
0.704 0.296 0.250
0.564 0.436 0.750
0.436 0.564 0.250
```

Values from the calculation:
E_form (uncorrected) ... -2.30 eV/f.u.
Crystal system ... orthorhombic

An optimized crystal structure of Na3NpBr8. Source: Alexandria, functional PBE.

Cell and atoms, written as POSCAR:
```
Na3NpBr8
1.0
7.162 0.000 0.000
0.000 7.162 0.000
0.000 0.000 7.162
Np Br Na
1 8 3
Direct
0.000 0.000 0.000
0.236 0.236 0.236
0.764 0.236 0.764
0.764 0.764 0.764
0.236 0.236 0.764
0.236 0.764 0.236
0.764 0.764 0.236
0.236 0.764 0.764
0.764 0.236 0.236
0.000 0.500 0.500
0.500 0.500 0.000
0.500 0.000 0.500
```

Values from the calculation:
E_form (uncorrected) ... -14.18 eV/f.u.
Crystal system ... cubic

An optimized crystal structure of Bi2TeCl. Source: Alexandria, functional PBE.

Cell and atoms, written as POSCAR:
```
Bi2TeCl
1.0
3.847 -2.991 -2.398
0.049 -5.391 0.654
-1.285 -3.251 -4.156
Cl Te Bi
1 1 2
Direct
0.000 0.000 0.000
0.500 0.500 0.500
0.250 0.250 0.250
0.750 0.750 0.750
```

Values from the calculation:
E_form (uncorrected) ... -0.28 eV/f.u.
Crystal system ... cubic

An optimized crystal structure of FeHgRu2. Source: Alexandria, functional PBE.

Cell and atoms, written as POSCAR:
```
FeHgRu2
1.0
-0.471 -1.209 -2.434
-1.876 -0.436 1.975
-4.668 7.441 -2.793
Fe Ru Hg
1 2 1
Direct
0.000 0.000 0.479
0.500 0.500 0.257
0.000 0.000 0.020
0.500 0.500 0.744
```

Values from the calculation:
E_form ... 2.29 eV/f.u.
Crystal system ... orthorhombic

An optimized crystal structure of Mg3Ga3Ir. Source: Alexandria, functional PBE.

Cell and atoms, written as POSCAR:
```
Mg3Ga3Ir
1.0
3.845 0.000 0.579
1.887 4.953 0.523
-0.143 0.122 14.005
Mg Ga Ir
6 6 2
Direct
0.251 0.256 0.242
0.488 0.647 0.376
0.512 0.353 0.624
0.749 0.744 0.758
0.388 0.300 0.923
0.612 0.700 0.077
0.850 0.769 0.531
0.021 0.185 0.774
0.150 0.231 0.469
0.887 0.150 0.076
0.979 0.815 0.226
0.113 0.850 0.924
0.226 0.923 0.625
0.774 0.077 0.375
```

Values from the calculation:
E_form ... -2.03 eV/f.u.
Crystal system ... monoclinic

An optimized crystal structure of Nd2Be2CdPd5. Source: Alexandria, functional PBE.

Cell and atoms, written as POSCAR:
```
Nd2Be2CdPd5
1.0
-1.930 -1.339 -2.650
7.025 -6.741 -1.710
-4.398 -6.190 6.330
Pd Nd Cd Be
10 4 2 4
Direct
0.500 0.568 0.723
0.500 0.432 0.277
0.500 0.068 0.777
0.500 0.223 0.068
0.500 0.932 0.223
0.500 0.000 0.500
0.500 0.777 0.932
0.500 0.277 0.568
0.500 0.500 0.000
0.500 0.723 0.432
0.000 0.680 0.180
0.000 0.180 0.320
0.000 0.820 0.680
0.000 0.320 0.820
0.000 0.000 0.000
0.000 0.500 0.500
0.000 0.115 0.615
0.000 0.615 0.885
0.000 0.385 0.115
0.000 0.885 0.385
```

Values from the calculation:
E_form ... -6.45 eV/f.u.
Crystal system ... tetragonal

An optimized crystal structure of Sc3Cr. Source: Alexandria, functional PBE.

Cell and atoms, written as POSCAR:
```
Sc3Cr
1.0
-2.213 2.213 8.818
2.213 -2.213 8.818
2.213 2.213 -8.818
Sc Cr
6 2
Direct
0.876 0.876 0.000
0.250 0.750 0.500
0.000 0.500 0.500
0.500 0.000 0.500
0.124 0.124 0.000
0.750 0.250 0.500
0.631 0.631 0.000
0.369 0.369 0.000
```

Values from the calculation:
E_form ... 0.91 eV/f.u.
Crystal system ... tetragonal

An optimized crystal structure of Ce2Sm3YP6. Source: Alexandria, functional PBE.

Cell and atoms, written as POSCAR:
```
Ce2Sm3YP6
1.0
-1.877 -0.942 -6.748
4.826 -4.237 2.950
-5.820 -2.441 3.193
Ce Sm P Y
2 3 6 1
Direct
0.333 0.667 0.000
0.667 0.333 0.000
0.833 0.167 0.500
0.500 0.500 0.500
0.167 0.833 0.500
0.919 0.585 0.756
0.415 0.081 0.244
0.252 0.252 0.754
0.585 0.919 0.756
0.081 0.415 0.244
0.748 0.748 0.246
0.000 0.000 0.000
```

Values from the calculation:
E_form ... -18.79 eV/f.u.
Crystal system ... monoclinic

An optimized crystal structure of YTiNiRu. Source: Alexandria, functional PBE.

Cell and atoms, written as POSCAR:
```
YTiNiRu
1.0
4.572 0.000 0.000
2.286 3.959 0.000
2.286 1.320 3.733
Y Ti Ni Ru
1 1 1 1
Direct
0.750 0.750 0.750
0.250 0.250 0.250
0.500 0.500 0.500
0.000 0.000 0.000
```

Values from the calculation:
E_form ... -1.21 eV/f.u.
Crystal system ... cubic

An optimized crystal structure of SrNiTe2. Source: Alexandria, functional PBE.

Cell and atoms, written as POSCAR:
```
SrNiTe2
1.0
-3.608 -3.315 -1.608
3.033 -3.949 1.336
-1.584 -0.008 3.571
Ni Te Sr
1 2 1
Direct
0.500 0.000 0.500
0.000 0.000 0.000
0.500 0.500 0.000
0.000 0.500 0.500
```

Values from the calculation:
E_form (uncorrected) ... -1.23 eV/f.u.
Crystal system ... tetragonal

An optimized crystal structure of Mg14ZrW. Source: Alexandria, functional PBE.

Cell and atoms, written as POSCAR:
```
Mg14ZrW
1.0
-3.664 5.037 -1.108
-2.633 -5.588 1.366
0.198 2.278 9.700
Mg Zr W
14 1 1
Direct
0.010 0.505 0.000
0.502 0.498 0.500
0.997 0.498 0.500
0.495 0.505 0.000
0.667 0.333 0.239
0.159 0.319 0.741
0.681 0.841 0.259
0.502 0.003 0.500
0.681 0.841 0.741
0.667 0.333 0.761
0.159 0.319 0.259
0.159 0.841 0.259
0.495 0.990 0.000
0.159 0.841 0.741
0.000 0.000 0.000
0.000 0.000 0.500
```

Values from the calculation:
E_form ... 2.79 eV/f.u.
Crystal system ... hexagonal

no.,density of states at the Fermi level (states/eV/cell),magnetic moment (μB/atom)
1,5.54,1.110
2,6.13,0.000
3,7.31,0.213
4,8.49,0.211
5,16.70,0.000
6,3.90,0.109
7,1.88,0.000
8,5.04,0.376
9,3.83,0.000
10,6.45,0.088
11,0.00,0.000
12,11.10,0.000
13,5.36,0.000
14,15.45,0.199
15,2.53,0.000
16,4.92,1.022
17,5.37,0.000
18,7.86,0.000
19,11.60,0.562
20,9.37,0.066
21,3.51,0.000
22,2.95,0.000
23,10.46,0.000